#a
Compound: Lu2RhSe
Source: Alexandria
Functional: PBE
Structure: relaxed

Values from the calculation:
ρ: 10.68 g cm⁻³
M_tot: 0.00 Bohr magnetons per cell
space group: P4/mmm, No. 123
Fermi-level density of states: 1.449 states/eV/f.u.

Unit cell a=3.4135 b=3.4135 c=7.0952 alpha=90.00 beta=90.00 gamma=90.00
Element x y z (fractional)
Rh  0.5000  0.5000  0.0000
Se  0.5000  0.5000  0.5000
Lu  0.0000  0.0000  0.7680
Lu  0.0000  0.0000  0.2320


#b
Compound: Lu2RhSe
Source: Alexandria
Functional: PBE
Structure: relaxed

Values from the calculation:
ρ: 9.20 g cm⁻³
M_tot: 0.00 Bohr magnetons per cell
space group: R-3m, No. 166
Fermi-level density of states: 3.214 states/eV/f.u.

Unit cell a=3.5686 b=3.5686 c=8.9437 alpha=78.49 beta=78.49 gamma=60.00
Element x y z (fractional)
Lu  0.0942  0.0942  0.7174
Lu  0.9058  0.9058  0.2826
Se  0.5000  0.5000  0.5000
Rh  0.0000  0.0000  0.0000


Which is the most stable structure? #a is the most stable.